A | Entry from Alexandria via LeMat-Bulk: Zn2TcBr after structural relaxation (PBE).

## Properties
**Total moment**: 1.6 Bohr magnetons per cell
**SG**: No. 99

Structure (extended XYZ):
```
4
Lattice="-3.157 -0.566 1.148 -1.134 -0.180 -3.207 1.090 -6.164 -0.040" Properties=species:S:1:pos:R:3 pbc="T T T"
Tc -1.259 -5.388 -1.062
Zn -1.910 -1.708 -1.038
Zn 1.063 -6.011 -0.039
Br 0.539 -3.047 -0.020
```


B | Entry from Alexandria via LeMat-Bulk: Zn2TcBr after structural relaxation (PBE).

## Properties
**Total moment**: 0.0 Bohr magnetons per cell
**SG**: No. 10

Structure (extended XYZ):
```
4
Lattice="-2.876 -1.065 0.948 0.709 -2.541 -0.705 3.059 -1.304 7.816" Properties=species:S:1:pos:R:3 pbc="T T T"
Tc 1.388 -3.416 5.807
Zn 3.068 -1.870 7.208
Zn 1.875 -1.356 4.164
Br -0.496 -1.494 2.252
```


Which is the most stable structure? B is the most stable.


A | Entry from Alexandria via LeMat-Bulk: ZnTcBr2 after structural relaxation (PBE).

## Properties
**Total moment**: 3.2 Bohr magnetons per cell
**SG**: No. 12

Structure (extended XYZ):
```
4
Lattice="-3.757 3.583 -1.428 -0.237 -4.695 -2.082 -3.823 -2.587 1.412" Properties=species:S:1:pos:R:3 pbc="T T T"
Zn -1.997 -0.556 -1.755
Tc -2.030 -3.641 -0.335
Br 0.000 0.000 0.000
Br -3.790 0.498 -0.008
```


B | Entry from Alexandria via LeMat-Bulk: ZnTcBr2 after structural relaxation (PBE).

## Properties
**Total moment**: 0.0 Bohr magnetons per cell
**SG**: No. 8

Structure (extended XYZ):
```
16
Lattice="-2.712 -0.120 6.534 -2.238 -2.966 -0.983 13.217 -10.292 0.962" Properties=species:S:1:pos:R:3 pbc="T T T"
Br 11.301 -11.782 2.304
Br 6.946 -9.969 6.746
Br -2.219 -2.583 5.329
Br 7.441 -9.189 3.269
Br 1.952 -2.560 3.279
Br 1.456 -3.340 6.757
Br 5.811 -5.153 2.314
Br 5.509 -6.247 6.302
Tc 11.969 -9.441 1.236
Tc 3.052 -6.586 5.408
Tc 10.779 -10.250 6.381
Tc 4.242 -5.778 0.263
Zn 4.220 -4.615 4.315
Zn 9.405 -8.691 4.807
Zn 9.709 -11.244 4.305
Zn 1.677 -5.027 3.834
```


C | Entry from Alexandria via LeMat-Bulk: ZnTcBr2 after structural relaxation (PBE).

## Properties
**Total moment**: 0.0 Bohr magnetons per cell
**SG**: No. 1

Structure (extended XYZ):
```
8
Lattice="3.790 0.001 -0.059 0.756 6.714 0.012 1.544 2.386 8.718" Properties=species:S:1:pos:R:3 pbc="T T T"
Tc 2.282 2.091 1.757
Tc 3.882 2.937 0.525
Zn 4.769 6.932 2.076
Zn 3.677 2.754 8.633
Br 1.788 3.898 7.143
Br 0.919 4.431 2.545
Br 4.386 7.188 7.767
Br 2.555 7.746 4.129
```


Which is the most stable structure? C is the most stable.


A | Entry from Alexandria via LeMat-Bulk: ZnTcBr2 after structural relaxation (PBE).

## Properties
**Total moment**: 0.9 Bohr magnetons per cell
**SG**: No. 1

Structure (extended XYZ):
```
8
Lattice="3.410 0.001 0.001 0.002 7.258 -0.028 -1.667 -3.148 8.616" Properties=species:S:1:pos:R:3 pbc="T T T"
Br 2.058 2.908 5.591
Br 0.353 -0.878 4.325
Br 2.019 6.319 0.208
Br 0.311 2.798 1.735
Tc 2.057 -0.573 6.157
Tc -1.354 -2.374 7.382
Zn 0.349 -0.707 8.567
Zn 0.351 1.427 7.003
```


B | Entry from Alexandria via LeMat-Bulk: ZnTcBr2 after structural relaxation (PBE).

## Properties
**Total moment**: 0.0 Bohr magnetons per cell
**SG**: No. 1

Structure (extended XYZ):
```
8
Lattice="4.735 0.000 0.000 -0.018 7.034 -0.001 -0.965 -0.661 7.593" Properties=species:S:1:pos:R:3 pbc="T T T"
Br 4.115 0.466 4.343
Br 4.080 4.365 1.651
Br 1.872 3.366 5.468
Br 1.638 6.799 0.316
Tc 4.031 2.003 2.257
Tc 4.025 0.491 0.781
Zn 1.666 2.059 3.210
Zn 2.904 1.492 6.535
```


C | Entry from Alexandria via LeMat-Bulk: ZnTcBr2 after structural relaxation (PBE).

## Properties
**Total moment**: 0.0 Bohr magnetons per cell
**SG**: No. 1

Structure (extended XYZ):
```
8
Lattice="-2.104 -1.514 2.882 -4.321 -4.580 -2.962 5.484 -7.096 2.823" Properties=species:S:1:pos:R:3 pbc="T T T"
Zn -0.564 -4.775 1.162
Zn -2.985 -5.534 1.603
Tc -2.676 -3.346 0.369
Tc -1.767 -2.015 1.728
Br 2.288 -9.268 0.822
Br -0.539 -6.776 2.734
Br -3.919 -7.435 -0.101
Br 3.798 -7.011 3.107
```


D | Entry from Alexandria via LeMat-Bulk: ZnTcBr2 after structural relaxation (PBE).

## Properties
**Total moment**: 0.0 Bohr magnetons per cell
**SG**: No. 8

Structure (extended XYZ):
```
16
Lattice="-0.629 7.266 -2.284 -2.757 0.523 2.423 11.800 0.441 13.329" Properties=species:S:1:pos:R:3 pbc="T T T"
Br 9.892 1.022 11.033
Br 4.805 6.899 6.813
Br 7.075 4.796 9.850
Br 2.553 4.314 1.974
Br 6.116 2.983 6.314
Br -1.162 3.024 0.861
Br 0.283 6.417 -1.063
Br 2.613 1.063 5.579
Tc 3.144 6.824 4.940
Tc 9.655 4.850 9.937
Tc 10.423 6.783 10.393
Tc 2.377 4.891 4.484
Zn 5.033 5.001 4.647
Zn 9.555 5.483 12.523
Zn 3.569 3.299 6.184
Zn 10.847 3.258 11.637
```


Which is the most stable structure? D is the most stable.


A | Entry from Alexandria via LeMat-Bulk: ZnTcBr2 after structural relaxation (PBE).

## Properties
**Total moment**: 0.0 Bohr magnetons per cell
**SG**: No. 122

Structure (extended XYZ):
```
8
Lattice="8.912 0.000 0.000 0.000 8.912 0.000 4.456 4.456 2.581" Properties=species:S:1:pos:R:3 pbc="T T T"
Br 9.848 6.684 0.645
Br 6.684 5.392 1.936
Br 7.976 2.228 0.645
Br 11.140 3.520 1.936
Tc 0.000 0.000 0.000
Tc 8.912 4.456 1.291
Zn 4.456 8.912 1.291
Zn 4.456 4.456 0.000
```


B | Entry from Alexandria via LeMat-Bulk: ZnTcBr2 after structural relaxation (PBE).

## Properties
**Total moment**: 4.3 Bohr magnetons per cell
**SG**: No. 65

Structure (extended XYZ):
```
4
Lattice="5.106 0.155 0.000 -0.663 5.066 0.000 0.000 0.000 3.484" Properties=species:S:1:pos:R:3 pbc="T T T"
Tc 2.553 0.077 1.742
Br 0.000 0.000 0.000
Br 2.222 2.610 0.000
Zn -0.331 2.533 1.742
```


C | Entry from Alexandria via LeMat-Bulk: ZnTcBr2 after structural relaxation (PBE).

## Properties
**Total moment**: 0.0 Bohr magnetons per cell
**SG**: No. 1

Structure (extended XYZ):
```
8
Lattice="-0.190 2.197 -2.931 -6.213 2.273 2.149 6.956 4.618 5.116" Properties=species:S:1:pos:R:3 pbc="T T T"
Br 1.974 4.630 0.546
Br -1.868 3.490 2.185
Br 0.168 5.918 5.062
Br 3.984 5.995 4.817
Tc -0.635 1.854 0.745
Tc 0.699 3.002 -0.636
Zn 0.327 8.350 4.624
Zn -3.999 3.385 0.719
```


Which is the most stable structure? C is the most stable.


A | Entry from Alexandria via LeMat-Bulk: ZnTcBr2 after structural relaxation (PBE).

## Properties
**Total moment**: 2.2 Bohr magnetons per cell
**SG**: No. 35

Structure (extended XYZ):
```
4
Lattice="-0.620 -3.256 1.117 3.113 1.007 -1.236 2.687 2.511 8.812" Properties=species:S:1:pos:R:3 pbc="T T T"
Tc 1.395 1.304 4.574
Br 2.113 -0.315 2.781
Br 2.481 2.318 8.135
Zn 3.223 0.722 6.419
```


B | Entry from Alexandria via LeMat-Bulk: ZnTcBr2 after structural relaxation (PBE).

## Properties
**Total moment**: 4.4 Bohr magnetons per cell
**SG**: No. 123

Structure (extended XYZ):
```
4
Lattice="-0.146 4.526 -2.396 -4.798 0.717 1.648 1.211 1.549 2.852" Properties=species:S:1:pos:R:3 pbc="T T T"
Zn -1.793 1.133 2.250
Br -2.472 2.622 -0.374
Br 0.000 0.000 0.000
Tc 0.533 3.038 0.228
```


C | Entry from Alexandria via LeMat-Bulk: ZnTcBr2 after structural relaxation (PBE).

## Properties
**Total moment**: 3.4 Bohr magnetons per cell
**SG**: No. 119

Structure (extended XYZ):
```
4
Lattice="6.839 0.003 0.000 4.650 5.015 0.000 -5.745 -2.509 2.735" Properties=species:S:1:pos:R:3 pbc="T T T"
Zn 3.420 0.001 1.367
Br 2.325 2.507 1.367
Br 0.000 0.000 0.000
Tc 5.745 2.509 0.000
```


D | Entry from Alexandria via LeMat-Bulk: ZnTcBr2 after structural relaxation (PBE).

## Properties
**Total moment**: 2.9 Bohr magnetons per cell
**SG**: No. 47

Structure (extended XYZ):
```
4
Lattice="-2.558 -1.952 1.258 1.024 -4.740 -5.275 2.919 -4.526 -1.090" Properties=species:S:1:pos:R:3 pbc="T T T"
Zn 1.460 -2.263 -0.545
Br -0.767 -3.346 -2.009
Br 0.000 0.000 0.000
Tc 0.693 -5.610 -2.553
```


Which is the most stable structure? A is the most stable.


A | Entry from Alexandria via LeMat-Bulk: ZrTcBr2 after structural relaxation (PBE).

## Properties
**Total moment**: 1.5 Bohr magnetons per cell
**SG**: No. 166

Structure (extended XYZ):
```
4
Lattice="8.699 -3.112 -0.218 8.667 -1.296 -2.936 9.241 0.107 -0.040" Properties=species:S:1:pos:R:3 pbc="T T T"
Br 2.457 -0.397 -0.295
Br 24.151 -3.904 -2.899
Zr 13.304 -2.150 -1.597
Tc 0.000 0.000 0.000
```


B | Entry from Alexandria via LeMat-Bulk: ZrTcBr2 after structural relaxation (PBE).

## Properties
**Total moment**: 0.0 Bohr magnetons per cell
**SG**: No. 160

Structure (extended XYZ):
```
4
Lattice="-1.261 3.854 8.968 -3.756 1.481 8.976 -0.535 0.595 9.810" Properties=species:S:1:pos:R:3 pbc="T T T"
Zr -4.220 4.508 21.093
Br -0.132 0.141 0.661
Br -1.246 1.331 6.230
Tc -2.730 2.916 13.646
```


Which is the most stable structure? B is the most stable.


A | Entry from Alexandria via LeMat-Bulk: ZrTcBr2 after structural relaxation (PBE).

## Properties
**Total moment**: 0.7 Bohr magnetons per cell
**SG**: No. 119

Structure (extended XYZ):
```
4
Lattice="5.609 0.032 0.000 2.684 4.926 0.000 -4.147 -2.479 2.851" Properties=species:S:1:pos:R:3 pbc="T T T"
Br 0.000 0.000 0.000
Br 1.342 2.463 1.425
Tc 4.147 2.479 0.000
Zr 2.805 0.016 1.425
```


B | Entry from Alexandria via LeMat-Bulk: ZrTcBr2 after structural relaxation (PBE).

## Properties
**Total moment**: 1.5 Bohr magnetons per cell
**SG**: No. 216

Structure (extended XYZ):
```
4
Lattice="-1.989 0.740 4.406 -4.854 -0.221 0.560 -2.014 -3.735 2.432" Properties=species:S:1:pos:R:3 pbc="T T T"
Br -2.214 -0.804 1.850
Br 0.000 0.000 0.000
Zr -6.643 -2.412 5.549
Tc -4.429 -1.608 3.699
```


Which is the most stable structure? A is the most stable.


A | Entry from Alexandria via LeMat-Bulk: ZrTcBr2 after structural relaxation (PBE).

## Properties
**Total moment**: 0.0 Bohr magnetons per cell
**SG**: No. 123

Structure (extended XYZ):
```
4
Lattice="4.529 0.000 0.000 0.000 4.529 0.000 0.000 0.000 3.562" Properties=species:S:1:pos:R:3 pbc="T T T"
Br 0.000 0.000 0.000
Br 2.264 2.264 0.000
Tc 2.264 0.000 1.781
Zr 0.000 2.264 1.781
```


B | Entry from Alexandria via LeMat-Bulk: ZrTcBr2 after structural relaxation (PBE).

## Properties
**Total moment**: 0.5 Bohr magnetons per cell
**SG**: No. 8

Structure (extended XYZ):
```
4
Lattice="-2.711 0.877 5.005 -4.968 -0.338 2.893 0.906 -5.364 2.118" Properties=species:S:1:pos:R:3 pbc="T T T"
Br -7.132 -0.477 7.897
Br -4.905 -3.621 7.326
Zr -1.568 -0.708 2.083
Tc -4.235 -1.891 5.616
```


Which is the most stable structure? B is the most stable.